Computed, not measured: a relaxed structure of Na3TbHo2Pb3 at the PBE level of DFT.

Cell: 5.207 5.207 10.450 Å, 90.00 90.00 120.00°
Element x y z (fractional)
1 Na 0.000 0.000 0.000
2 Na 0.333 0.667 0.316
3 Na 0.333 0.667 0.684
4 Tb 0.667 0.333 0.500
5 Ho 0.667 0.333 0.165
6 Ho 0.667 0.333 0.835
7 Pb 0.000 0.000 0.339
8 Pb 0.000 0.000 0.661
9 Pb 0.333 0.667 0.000

## Properties
Electronic total energy = -3.411 eV per atom
Magnetic moment = 0.00 μB/atom

Computed, not measured: a relaxed structure of K3Au at the PBE level of DFT.

Cell: 8.151 8.151 8.165 Å, 99.68 99.68 120.31°
Element x y z (fractional)
1 K 0.084 0.417 0.749
2 K 0.249 0.249 0.246
3 K 0.417 0.084 0.749
4 K 0.583 0.916 0.251
5 K 0.751 0.751 0.754
6 K 0.916 0.583 0.251
7 Au 0.168 0.832 0.000
8 Au 0.832 0.168 0.000

## Properties
Electronic total energy = -1.788 eV per atom

Computed, not measured: a relaxed structure of SrAsAu2 at the PBE level of DFT.

Cell: 4.988 4.988 4.988 Å, 60.00 60.00 60.00°
Element x y z (fractional)
1 Sr 0.000 0.000 0.000
2 As 0.750 0.750 0.750
3 Au 0.250 0.250 0.250
4 Au 0.500 0.500 0.500

## Properties
Electronic total energy = -3.563 eV per atom

Computed, not measured: a relaxed structure of Co12W at the PBE level of DFT.

Cell: 8.639 8.639 8.639 Å, 30.72 30.72 30.72°
Element x y z (fractional)
1 Co 0.046 0.046 0.046
2 Co 0.078 0.589 0.589
3 Co 0.149 0.149 0.149
4 Co 0.337 0.337 0.337
5 Co 0.411 0.411 0.922
6 Co 0.411 0.922 0.411
7 Co 0.589 0.078 0.589
8 Co 0.589 0.589 0.078
9 Co 0.663 0.663 0.663
10 Co 0.851 0.851 0.851
11 Co 0.922 0.411 0.411
12 Co 0.954 0.954 0.954
13 W 0.500 0.500 0.500

## Properties
Electronic total energy = -7.383 eV per atom
Energy relative to the elements = 0.1741 eV/atom
Magnetic moment = 1.30 μB/atom

Computed, not measured: a relaxed structure of NdAgSnO3 at the PBE level of DFT.

Cell: 6.959 6.959 8.381 Å, 90.00 90.00 149.44°
Element x y z (fractional)
1 Nd 0.000 0.000 0.000
2 Nd 0.000 0.000 0.500
3 Ag 0.339 0.661 0.750
4 Ag 0.661 0.339 0.250
5 Sn 0.328 0.672 0.250
6 Sn 0.672 0.328 0.750
7 O 0.081 0.919 0.750
8 O 0.388 0.612 0.000
9 O 0.388 0.612 0.500
10 O 0.612 0.388 0.000
11 O 0.612 0.388 0.500
12 O 0.919 0.081 0.250

## Properties
Electronic total energy = -6.195 eV per atom
Magnetic moment = 0.00 μB/atom

Computed, not measured: a relaxed structure of LaGd2Mg3TlIn2 at the PBE level of DFT.

Cell: 4.731 7.675 7.675 Å, 120.65 90.00 90.00°
Element x y z (fractional)
1 La 0.000 0.000 0.000
2 Gd 0.000 0.431 0.860
3 Gd 0.000 0.860 0.431
4 Mg 0.500 0.191 0.433
5 Mg 0.500 0.433 0.191
6 Mg 0.500 0.675 0.675
7 Tl 0.000 0.441 0.441
8 In 0.500 0.102 0.760
9 In 0.500 0.760 0.102

## Properties
Electronic total energy = -3.363 eV per atom
Magnetic moment = 0.00 μB/atom

Computed, not measured: a relaxed structure of LuTc2Sb at the PBE level of DFT.

Cell: 4.707 4.707 4.707 Å, 60.00 60.00 60.00°
Element x y z (fractional)
1 Lu 0.000 0.000 0.000
2 Tc 0.250 0.250 0.250
3 Tc 0.500 0.500 0.500
4 Sb 0.750 0.750 0.750

## Properties
Electronic total energy = -7.145 eV per atom
Magnetic moment = 0.33 μB/atom

Computed, not measured: a relaxed structure of Ni11W2 at the PBE level of DFT.

Cell: 8.707 8.707 8.707 Å, 30.79 30.79 30.79°
Element x y z (fractional)
1 Ni 0.000 0.000 0.000
2 Ni 0.092 0.092 0.587
3 Ni 0.092 0.587 0.092
4 Ni 0.166 0.166 0.166
5 Ni 0.347 0.347 0.347
6 Ni 0.413 0.908 0.908
7 Ni 0.587 0.092 0.092
8 Ni 0.653 0.653 0.653
9 Ni 0.834 0.834 0.834
10 Ni 0.908 0.413 0.908
11 Ni 0.908 0.908 0.413
12 W 0.450 0.450 0.450
13 W 0.550 0.550 0.550

## Properties
Electronic total energy = -6.619 eV per atom
Energy relative to the elements = 0.0859 eV/atom
Magnetic moment = 0.17 μB/atom

Computed, not measured: a relaxed structure of Er2In2O5 at the PBE level of DFT.

Cell: 4.161 4.161 7.017 Å, 90.00 90.00 90.00°
Element x y z (fractional)
1 Er 0.000 0.000 0.000
2 Er 0.000 0.000 0.500
3 In 0.500 0.500 0.200
4 In 0.500 0.500 0.800
5 O 0.000 0.500 0.240
6 O 0.000 0.500 0.760
7 O 0.500 0.000 0.240
8 O 0.500 0.000 0.760
9 O 0.500 0.500 0.500

## Properties
Electronic total energy = -6.173 eV per atom
Magnetic moment = 0.00 μB/atom

Computed, not measured: a relaxed structure of CsAgBi at the PBE level of DFT.

Cell: 5.886 5.886 5.886 Å, 60.00 60.00 60.00°
Element x y z (fractional)
1 Cs 0.000 0.000 0.000
2 Ag 0.750 0.750 0.750
3 Bi 0.250 0.250 0.250

## Properties
Electronic total energy = -1.814 eV per atom

Computed, not measured: a relaxed structure of GeTe2Pt2F2 at the PBE level of DFT.

Cell: 3.789 3.789 8.840 Å, 90.00 90.00 90.00°
Element x y z (fractional)
1 Ge 0.000 0.000 0.000
2 Te 0.000 0.500 0.765
3 Te 0.500 0.000 0.235
4 Pt 0.000 0.500 0.307
5 Pt 0.500 0.000 0.693
6 F 0.000 0.000 0.500
7 F 0.500 0.500 0.500

## Properties
Electronic total energy = -4.090 eV per atom
Magnetic moment = 0.00 μB/atom

Computed, not measured: a relaxed structure of YCoBiW at the PBE level of DFT.

Cell: 4.790 4.790 4.790 Å, 60.00 60.00 60.00°
Element x y z (fractional)
1 Y 0.000 0.000 0.000
2 Co 0.750 0.750 0.750
3 Bi 0.500 0.500 0.500
4 W 0.250 0.250 0.250

## Properties
Electronic total energy = -6.970 eV per atom
Magnetic moment = 0.23 μB/atom

- Which value of electronic total energy does entry 12 give?
  -6.970 eV per atom

- Look up the electronic total energy of the twelfth one.
  -6.970 eV per atom

- What is the formula in the fifth record?
  NdAgSnO3

- The highest electronic total energy belongs to which entry?
  K3Au